# 1
A crystal of InRe2Rh relaxed with PBEsol, computed with SCAN.

Computed properties:
formation energy from the elements: 0.15 eV per atom

a b c (Å): 2.8321 3.8579 5.7061
angles (deg): 90.00 91.19 90.00
Last column: nearest neighbours and their distance in Å.
Fractional positions:
Re1 0.4670 0.5000 0.2308  6 Re 2.53-2.83, 2 Rh 2.82, 1 In 2.83
Re2 0.0360 0.0000 0.0341  6 Re 2.53-2.83, 1 Rh 2.67
Rh1 0.9923 0.0000 0.5003  5 Re 2.67-2.86, 4 In 2.74-2.75, 2 Rh 2.83
In1 0.5047 0.5000 0.7348  4 Rh 2.74-2.75, 2 In 2.83, 6 Re 2.83-2.97


# 2
A crystal of InRe2Rh relaxed with PBEsol, computed with SCAN.

Computed properties:
formation energy from the elements: 0.34 eV per atom

a b c (Å): 3.7111 3.7111 4.4898
angles (deg): 90.00 90.00 90.00
Last column: nearest neighbours and their distance in Å.
Fractional positions:
Re1 0.5000 0.0000 0.0000  4 Re 2.62, 4 In 2.91, 4 Rh 2.91
Re2 0.0000 0.5000 0.0000  4 Re 2.62, 4 In 2.91, 4 Rh 2.91
Rh1 0.5000 0.5000 0.5000  4 In 2.62, 8 Re 2.91
In1 0.0000 0.0000 0.5000  4 Rh 2.62, 8 Re 2.91


# 3
A crystal of InReRh2 relaxed with PBEsol, computed with SCAN.

Computed properties:
formation energy from the elements: 0.23 eV per atom

a b c (Å): 3.7462 4.0244 4.0244
angles (deg): 90.00 90.00 90.00
Last column: nearest neighbours and their distance in Å.
Fractional positions:
Re1 0.5000 0.0000 0.0000  8 Rh 2.75, 4 In 2.85
Rh1 0.0000 0.0000 0.5000  4 Re 2.75, 4 In 2.75, 4 Rh 2.85
Rh2 0.0000 0.5000 0.0000  4 In 2.75, 4 Re 2.75, 4 Rh 2.85
In1 0.5000 0.5000 0.5000  8 Rh 2.75, 4 Re 2.85


# 4
A crystal of InReRh2 relaxed with PBEsol, computed with SCAN.

Computed properties:
formation energy from the elements: -0.20 eV per atom

a b c (Å): 2.8028 2.8028 7.6527
angles (deg): 90.00 90.00 90.00
Last column: nearest neighbours and their distance in Å.
Fractional positions:
Re1 0.5000 0.5000 0.5000  8 Rh 2.66, 4 Re 2.80
Rh1 0.0000 0.0000 0.7320  4 Re 2.66, 4 Rh 2.80, 4 In 2.85
Rh2 0.0000 0.0000 0.2680  4 Re 2.66, 4 Rh 2.80, 4 In 2.85
In1 0.5000 0.5000 0.0000  4 In 2.80, 8 Rh 2.85


# 5
A crystal of SrIn2ReRh relaxed with PBEsol, computed with SCAN.

Computed properties:
formation energy from the elements: 0.44 eV per atom

a b c (Å): 4.8294 5.0326 5.0326
angles (deg): 90.00 90.00 90.00
Last column: nearest neighbours and their distance in Å.
Fractional positions:
In1 0.0000 0.0000 0.5000  2 Rh 2.52
In2 0.0000 0.5000 0.0000  2 Rh 2.52
Re1 0.5000 0.0000 0.0000  2 Rh 2.41
Rh1 0.0000 0.0000 0.0000  2 Re 2.41, 4 In 2.52
Sr1 0.5000 0.5000 0.5000  8 In 3.49, 4 Re 3.56


# 6
A crystal of InRe2Ru relaxed with PBEsol, computed with SCAN.

Computed properties:
formation energy from the elements: 0.48 eV per atom

a b c (Å): 2.7711 2.7711 9.0915
angles (deg): 90.00 90.00 116.36
Last column: nearest neighbours and their distance in Å.
Fractional positions:
Re1 0.5000 0.5000 0.7476  2 Ru 2.61, 6 Re 2.61-2.77
Re2 0.0000 0.0000 0.9860  8 Re 2.61-2.92, 2 In 2.86
Ru1 0.0000 0.0000 0.5100  2 Re 2.61, 2 In 2.73, 4 Ru 2.77
In1 0.5000 0.5000 0.2564  2 Ru 2.73, 6 In 2.77-2.92, 2 Re 2.86


# 7
A crystal of In2ReRu relaxed with PBEsol, computed with SCAN.

Computed properties:
formation energy from the elements: 0.60 eV per atom

a b c (Å): 2.9970 4.9657 5.4042
angles (deg): 117.35 106.10 90.00
Last column: nearest neighbours and their distance in Å.
Fractional positions:
Re1 0.5000 0.0000 0.0000  4 In 2.78, 4 Ru 2.90, 2 Re 3.00
Ru1 0.0000 0.5000 0.0000  4 In 2.67, 4 Re 2.90
In1 0.2572 0.2572 0.5144  2 Ru 2.67, 2 Re 2.78, 4 In 2.90
In2 0.7428 0.7428 0.4856  2 Ru 2.67, 2 Re 2.78, 4 In 2.90


# 8
A crystal of In2ReRu relaxed with PBEsol, computed with SCAN.

Computed properties:
formation energy from the elements: 0.55 eV per atom

a b c (Å): 4.5443 4.5443 4.5443
angles (deg): 60.00 60.00 60.00
Last column: nearest neighbours and their distance in Å.
Fractional positions:
In1 0.7500 0.7500 0.7500  4 Re 2.78, 4 Ru 2.78
In2 0.2500 0.2500 0.2500  4 Ru 2.78, 4 Re 2.78
Re1 0.5000 0.5000 0.5000  8 In 2.78
Ru1 0.0000 0.0000 0.0000  8 In 2.78


# 9
A crystal of In3ReS relaxed with PBEsol, computed with SCAN.

Computed properties:
calculated total energy: -174.0 eV for the cell shown

a b c (Å): 4.9543 4.9543 4.9543
angles (deg): 90.00 90.00 90.00
Last column: nearest neighbours and their distance in Å.
Fractional positions:
In1 0.0000 0.5000 0.0000  2 S 2.48
In2 0.0000 0.0000 0.5000  2 S 2.48
In3 0.5000 0.0000 0.0000  2 S 2.48
S1 0.0000 0.0000 0.0000  6 In 2.48
Re1 0.5000 0.5000 0.5000  12 In 3.50


# 10
A crystal of InReS3 relaxed with PBEsol, computed with SCAN.

Computed properties:
calculated total energy: -133.0 eV for the cell shown

a b c (Å): 4.6458 4.6458 4.6458
angles (deg): 90.00 90.00 90.00
Last column: nearest neighbours and their distance in Å.
Fractional positions:
S1 0.5000 0.0000 0.0000  2 Re 2.32
S2 0.0000 0.0000 0.5000  2 Re 2.32
S3 0.0000 0.5000 0.0000  2 Re 2.32
In1 0.5000 0.5000 0.5000  12 S 3.29
Re1 0.0000 0.0000 0.0000  6 S 2.32


# 11
A crystal of In3ReS relaxed with PBEsol, computed with SCAN.

Computed properties:
calculated total energy: -177.4 eV for the cell shown

a b c (Å): 5.1567 5.1567 5.1567
angles (deg): 90.00 90.00 90.00
Last column: nearest neighbours and their distance in Å.
Fractional positions:
In1 0.0000 0.0000 0.5000  2 Re 2.58
In2 0.5000 0.0000 0.0000  2 Re 2.58
In3 0.0000 0.5000 0.0000  2 Re 2.58
S1 0.5000 0.5000 0.5000  12 In 3.65
Re1 0.0000 0.0000 0.0000  6 In 2.58


# 12
A crystal of InRe2SbS relaxed with PBEsol, computed with SCAN.

Computed properties:
calculated total energy: -216.2 eV for the cell shown

a b c (Å): 4.3737 4.3737 5.2362
angles (deg): 90.00 90.00 90.00
Last column: nearest neighbours and their distance in Å.
Fractional positions:
In1 0.0000 0.0000 0.5000  2 S 2.62
Re1 0.0000 0.5000 0.0000  2 S 2.19
Re2 0.5000 0.0000 0.0000  2 S 2.19
S1 0.0000 0.0000 0.0000  4 Re 2.19
Sb1 0.5000 0.5000 0.5000  4 In 3.09, 8 Re 3.41


| no. | volume (Å³/f.u.) |
| --- | --- |
| 1 | 62.3 |
| 2 | 61.8 |
| 3 | 60.7 |
| 4 | 60.1 |
| 5 | 122.3 |
| 6 | 62.6 |
| 7 | 67.9 |
| 8 | 66.4 |
| 9 | 121.6 |
| 10 | 100.3 |
| 11 | 137.1 |
| 12 | 100.2 |